Material: Pr2Nd4Cd
Method: DFT, PBE
State: optimized geometry

Cell lengths 3.593, 8.764, 8.768 Å; angles 116.69, 101.82, 90.00 degrees
Fractional positions:
Nd (0.919, 0.299, 0.839)
Nd (0.081, 0.701, 0.161)
Nd (0.627, 0.385, 0.254)
Nd (0.373, 0.615, 0.746)
Cd (0.000, 0.000, 0.000)
Pr (0.217, 0.141, 0.435)
Pr (0.783, 0.859, 0.565)

Results
M_tot, μB/f.u.: 0.0
Formation energy from the elements, eV/atom: 0.0289
SG: No. 12